Version w
This record from Alexandria describes an optimized crystal structure of Ag2IBr4. The functional is GGA-PBE.

```
Ag2IBr4
1.0
-3.996 3.996 7.771
3.996 -3.996 7.771
3.996 3.996 -7.771
Ag I Br
4 2 8
Direct
0.000 0.000 0.000 Ag
0.500 0.000 0.000 Ag
0.500 0.000 0.500 Ag
0.500 0.500 0.500 Ag
0.125 0.375 0.750 I
0.875 0.625 0.250 I
0.136 0.891 0.776 Br
0.140 0.364 0.255 Br
0.385 0.640 0.276 Br
0.391 0.115 0.755 Br
0.609 0.885 0.245 Br
0.615 0.360 0.724 Br
0.860 0.636 0.745 Br
0.864 0.109 0.224 Br
```



Version x
This record from Alexandria describes an optimized crystal structure of Ag2IBr4. The functional is GGA-PBE.

```
Ag2IBr4
1.0
-3.014 3.014 6.327
3.014 -3.014 6.327
3.014 3.014 -6.327
Ag I Br
2 1 4
Direct
0.250 0.750 0.500 Ag
0.750 0.250 0.500 Ag
0.000 0.000 0.000 I
0.199 0.545 0.000 Br
0.455 0.455 0.654 Br
0.545 0.199 0.000 Br
0.801 0.801 0.346 Br
```



version w (37 meV per atom below the next structure)



Version w
This record from Alexandria describes an optimized crystal structure of Ag2IBr2. The functional is GGA-PBE.

```
Ag2IBr2
1.0
7.866 -2.650 0.000
7.866 2.650 0.000
-5.753 0.000 8.083
Ag I Br
4 2 4
Direct
0.022 0.022 0.231 Ag
0.350 0.350 0.406 Ag
0.650 0.650 0.594 Ag
0.978 0.978 0.769 Ag
0.149 0.149 0.109 I
0.851 0.851 0.891 I
0.167 0.167 0.563 Br
0.479 0.479 0.276 Br
0.521 0.521 0.724 Br
0.833 0.833 0.437 Br
```



Version x
This record from Alexandria describes an optimized crystal structure of Ag2IBr2. The functional is GGA-PBE.

```
Ag2IBr2
1.0
8.362 0.000 0.000
0.000 8.362 0.000
0.000 0.000 3.718
Ag I Br
4 2 4
Direct
0.166 0.334 0.000 Ag
0.334 0.834 0.000 Ag
0.666 0.166 0.000 Ag
0.834 0.666 0.000 Ag
0.000 0.000 0.000 I
0.500 0.500 0.000 I
0.143 0.643 0.500 Br
0.357 0.143 0.500 Br
0.643 0.857 0.500 Br
0.857 0.357 0.500 Br
```



version w (220 meV per atom below the next structure)



Version w
This record from Alexandria describes an optimized crystal structure of Ag4I3Br. The functional is GGA-PBE.

```
Ag4I3Br
1.0
9.262 0.000 0.000
0.000 8.018 0.000
0.000 0.000 7.558
Ag I Br
8 6 2
Direct
0.000 0.154 0.000 Ag
0.000 0.828 0.511 Ag
0.246 0.669 0.998 Ag
0.254 0.331 0.498 Ag
0.500 0.172 0.011 Ag
0.500 0.846 0.500 Ag
0.746 0.331 0.498 Ag
0.754 0.669 0.998 Ag
0.000 0.162 0.378 I
0.248 0.332 0.876 I
0.252 0.668 0.376 I
0.500 0.838 0.878 I
0.748 0.668 0.376 I
0.752 0.332 0.876 I
0.000 0.830 0.877 Br
0.500 0.170 0.377 Br
```



Version x
This record from Alexandria describes an optimized crystal structure of Ag4I3Br. The functional is GGA-PBE.

```
Ag4I3Br
1.0
-3.819 4.668 3.848
3.819 -4.668 3.848
3.819 4.668 -3.848
Ag I Br
4 3 1
Direct
0.245 0.000 0.245 Ag
0.657 0.340 0.683 Ag
0.657 0.974 0.317 Ag
0.755 0.000 0.755 Ag
0.099 0.357 0.742 I
0.304 0.804 0.500 I
0.614 0.357 0.258 I
0.810 0.810 0.000 Br
```



version w (91 meV per atom below the next structure)